[1]
The following is a DFT calculation (PBE) of crystalline Hf2Al4Au at its relaxed geometry.

a = 4.925 Å, b = 4.925 Å, c = 13.577 Å
α = 90.00°, β = 90.00°, γ = 90.00°
Space group I4/mmm (No. 139)
One atom of each set of equivalent atoms:
Hf 0.000 0.000 0.107 x4
Al 0.000 0.000 0.312 x4
Al 0.000 0.500 0.000 x4
Au 0.000 0.000 0.500 x2

## Properties
- Crystal system: tetragonal
- Density of states at the Fermi level: 10.71 states/eV/cell
- Total magnetic moment: 0.00 μB/f.u.
- ΔE to the lowest computed polymorph: 623 meV/atom

***

[2]
The following is a DFT calculation (PBE) of crystalline LiIF3 at its relaxed geometry.

a = 3.972 Å, b = 3.972 Å, c = 3.972 Å
α = 90.00°, β = 90.00°, γ = 90.00°
Space group Pm-3m (No. 221)
One atom of each set of equivalent atoms:
Li 0.000 0.000 0.000 x1
I 0.500 0.500 0.500 x1
F 0.000 0.000 0.500 x3

## Properties
- Uncorrected formation energy: -1.39 eV per atom
- Crystal system: cubic
- Density of states at the Fermi level: 4.25 states/eV/cell
- Total magnetic moment: 1.33 μB/f.u.
- ΔE to the lowest computed polymorph: 0 meV/atom

***

[3]
The following is a DFT calculation (PBE) of crystalline Ho3Cd4Pt4 at its relaxed geometry.

a = 3.631 Å, b = 8.058 Å, c = 16.319 Å
α = 90.00°, β = 90.00°, γ = 90.00°
Space group Immm (No. 71)
One atom of each set of equivalent atoms:
Ho 0.000 0.000 0.000 x2
Ho 0.000 0.500 0.106 x4
Cd 0.000 0.314 0.335 x8
Pt 0.000 0.000 0.258 x4
Pt 0.000 0.205 0.500 x4

## Properties
- VASP energy: -49.87 eV/f.u.
- Crystal system: orthorhombic
- Density of states at the Fermi level: 8.80 states/eV/cell
- Total magnetic moment: 0.00 μB/f.u.

***

[4]
The following is a DFT calculation (PBE) of crystalline LaYMn2Cr at its relaxed geometry.

a = 5.039 Å, b = 5.039 Å, c = 5.227 Å
α = 90.00°, β = 90.00°, γ = 90.00°
Space group P4/mmm (No. 123)
One atom of each set of equivalent atoms:
La 0.000 0.000 0.000 x1
Y 0.500 0.500 0.500 x1
Mn 0.000 0.500 0.500 x2
Cr 0.500 0.500 0.000 x1

## Properties
- VASP energy: -33.75 eV/f.u.
- Crystal system: tetragonal
- Density of states at the Fermi level: 4.84 states/eV/cell
- Total magnetic moment: 10.76 μB/f.u.